# TmBr2, optimized geometry, DFT PBE-GGA
# ΔE_f (raw)   -1349.0 meV per atom
# Density   6734 kg/m3
data_TmBr2
_space_group_name_H-M_alt 'P b c a'
_space_group_IT_number 61
_cell_length_a 6.597
_cell_length_b 12.834
_cell_length_c 7.660
_cell_angle_alpha 90.00
_cell_angle_beta 90.00
_cell_angle_gamma 90.00
loop_
_space_group_symop_operation_xyz
'x,y,z'
'-x,-y,-z'
'-x+1/2,-y,z+1/2'
'x+1/2,y,-z+1/2'
'x+1/2,-y+1/2,-z'
'-x+1/2,y+1/2,z'
'-x,y+1/2,-z+1/2'
'x,-y+1/2,z+1/2'
loop_
_atom_site_label
_atom_site_fract_x
_atom_site_fract_y
_atom_site_fract_z
Tm1 0.171 0.096 0.047
Br1 0.022 0.044 0.703
Br2 0.203 0.707 0.377

# HoGaCu2Ni2, optimized geometry, DFT PBE-GGA
# E_form   127 meV/atom
# Density   7805 kg/m3
data_HoGaCu2Ni2
_space_group_name_H-M_alt 'P 4/m m m'
_space_group_IT_number 123
_space_group_name_Hall '-P 4 2'
_cell_length_a 4.350
_cell_length_b 4.350
_cell_length_c 5.387
_cell_angle_alpha 90.00
_cell_angle_beta 90.00
_cell_angle_gamma 90.00
loop_
_atom_site_label
_atom_site_fract_x
_atom_site_fract_y
_atom_site_fract_z
Ho1 0.000 0.000 0.000
Ga1 0.000 0.000 0.500
Cu1 0.500 0.500 0.243
Ni1 0.000 0.500 0.500

# TlCu, optimized geometry, DFT PBE-GGA
# E_form   658 meV/atom
# Density   6309 kg/m3
data_TlCu
_space_group_name_H-M_alt 'P m -3 n'
_space_group_IT_number 223
_space_group_name_Hall '-P 4n 2 3'
_cell_length_a 7.507
_cell_length_b 7.507
_cell_length_c 7.507
_cell_angle_alpha 90.00
_cell_angle_beta 90.00
_cell_angle_gamma 90.00
loop_
_atom_site_label
_atom_site_fract_x
_atom_site_fract_y
_atom_site_fract_z
Tl1 0.000 0.250 0.500
Cu1 0.000 0.500 0.250

# AcCd5Au3, optimized geometry, DFT PBE-GGA
# E_form   -348 meV/atom
# Density   10479 kg/m3
data_AcCd5Au3
_space_group_name_H-M_alt 'C m c m'
_space_group_IT_number 63
_space_group_name_Hall '-C 2c 2'
_cell_length_a 4.350
_cell_length_b 14.824
_cell_length_c 13.564
_cell_angle_alpha 90.00
_cell_angle_beta 90.00
_cell_angle_gamma 90.00
loop_
_atom_site_label
_atom_site_fract_x
_atom_site_fract_y
_atom_site_fract_z
Ac1 0.000 0.177 0.250
Cd1 0.000 0.000 0.000
Cd2 0.000 0.195 0.547
Cd3 0.000 0.436 0.143
Au1 0.000 0.153 0.750
Au2 0.000 0.383 0.580

# NdDy14Er, optimized geometry, DFT PBE-GGA
# E_form   3 meV/atom
# Density   8521 kg/m3
data_NdDy14Er
_space_group_name_H-M_alt 'A m m 2'
_space_group_IT_number 38
_cell_length_a 11.465
_cell_length_b 7.125
_cell_length_c 12.340
_cell_angle_alpha 90.00
_cell_angle_beta 90.00
_cell_angle_gamma 90.00
loop_
_space_group_symop_operation_xyz
'x,y,z'
'-x,-y,z'
'-x,y,z'
'x,-y,z'
'x,y+1/2,z+1/2'
'-x,-y+1/2,z+1/2'
'-x,y+1/2,z+1/2'
'x,-y+1/2,z+1/2'
loop_
_atom_site_label
_atom_site_fract_x
_atom_site_fract_y
_atom_site_fract_z
Nd1 0.000 0.000 0.000
Dy1 0.000 0.250 0.250
Dy2 0.250 0.000 0.333
Dy3 0.251 0.250 0.083
Dy4 0.252 0.000 0.833
Dy5 0.500 0.000 0.167
Dy6 0.500 0.000 0.666
Dy7 0.500 0.250 0.416
Er1 0.000 0.000 0.500

# Th4Sb2IrSe, optimized geometry, DFT PBE-GGA
# ΔE_f (raw)   -1097.2 meV per atom
# Density   10173 kg/m3
data_Th4Sb2IrSe
_space_group_name_H-M_alt 'P 1 2/m 1'
_space_group_IT_number 10
_cell_length_a 7.579
_cell_length_b 4.242
_cell_length_c 7.747
_cell_angle_alpha 90.00
_cell_angle_beta 108.98
_cell_angle_gamma 90.00
loop_
_space_group_symop_operation_xyz
'x,y,z'
'-x,-y,-z'
'-x,y,-z'
'x,-y,z'
loop_
_atom_site_label
_atom_site_fract_x
_atom_site_fract_y
_atom_site_fract_z
Th1 0.221 0.000 0.216
Th2 0.250 0.500 0.772
Sb1 0.000 0.000 0.500
Sb2 0.500 0.500 0.500
Ir1 0.000 0.500 0.000
Se1 0.500 0.000 0.000